The following is a PBE-GGA calculation of a relaxed Pr2Y2O5 crystal, from Alexandria.

Properties
N(E_F), states/eV/cell: 1.9
Raw total energy, eV for the cell shown: -71.7

Cell lengths 3.921, 3.921, 10.757 Å; angles 90.00, 90.00, 90.00 degrees
Positions (direct):
Pr 0.000 0.000 0.232
Pr 0.000 0.000 0.768
Y 0.500 0.500 0.000
Y 0.500 0.500 0.500
O 0.000 0.000 0.500
O 0.000 0.500 0.129
O 0.000 0.500 0.871
O 0.500 0.000 0.129
O 0.500 0.000 0.871